Entry 1:
HfI2O2: optimized geometry, GGA-PBE.

formation energy without anion corrections = -0.71 eV per atom

Lattice parameters (Å, degrees): 5.778 5.778 3.956 90.00 90.00 90.00
Fractional positions:
Hf: 0.000 0.000 0.000
I: 0.000 0.500 0.000
I: 0.500 0.000 0.000
O: 0.000 0.000 0.500
O: 0.500 0.500 0.500

Entry 2:
HfP2IO: optimized geometry, GGA-PBE.

formation energy without anion corrections = 0.68 eV per atom

Lattice parameters (Å, degrees): 5.057 5.057 3.882 90.00 90.00 90.00
Fractional positions:
Hf: 0.000 0.000 0.000
P: 0.000 0.500 0.500
P: 0.500 0.000 0.500
I: 0.500 0.500 0.500
O: 0.500 0.500 0.000

Entry 3:
HfP2IO: optimized geometry, GGA-PBE.

formation energy without anion corrections = -0.45 eV per atom

Lattice parameters (Å, degrees): 5.236 5.236 3.972 90.00 90.00 90.00
Fractional positions:
Hf: 0.000 0.000 0.000
P: 0.000 0.500 0.000
P: 0.500 0.000 0.000
I: 0.500 0.500 0.500
O: 0.000 0.000 0.500